No. 1
Computed, not measured: crystalline AlTlS2 at its relaxed geometry at the PBE level of DFT.

Cell lengths 10.6274, 10.6274, 4.7984 Å; angles 90.00, 90.00, 155.14 degrees
With the nearest neighbours (Å) after each atom.
Sites, in units of the cell vectors:
1 Al 0.0637 0.9363 0.7500  2 S 2.17-2.27
2 Al 0.9363 0.0637 0.2500  2 S 2.17-2.27
3 Tl 0.3218 0.6782 0.7500  5 S 3.19-3.32
4 Tl 0.6782 0.3218 0.2500  5 S 3.19-3.32
5 S 0.0456 0.9544 0.2500  3 Al 2.27-2.43
6 S 0.1680 0.8320 0.7500  1 Al 2.17
7 S 0.8320 0.1680 0.2500  1 Al 2.17
8 S 0.9544 0.0456 0.7500  3 Al 2.27-2.43

Properties
- E (eV/atom) = -4.1378
- calculated volume (Å³/atom) = 28.48

=====

No. 2
Computed, not measured: crystalline AlTlS3 at its relaxed geometry at the PBE level of DFT.

Cell lengths 3.6834, 6.8641, 6.8641 Å; angles 61.64, 90.00, 90.00 degrees
With the nearest neighbours (Å) after each atom.
Sites, in units of the cell vectors:
1 Al 0.0000 0.0000 0.0000  5 S 2.36-2.41
2 Tl 0.5000 0.6563 0.6563  4 S 2.50-2.57
3 S 0.0000 0.7995 0.7995  1 Al 2.36, 2 Tl 2.50
4 S 0.5000 0.2360 0.7988  2 Al 2.41, 1 Tl 2.57
5 S 0.5000 0.7988 0.2360  2 Al 2.41, 1 Tl 2.57

Properties
- E (eV/atom) = -4.0782
- calculated volume (Å³/atom) = 30.55

=====

No. 3
Computed, not measured: crystalline Al2TlS at its relaxed geometry at the PBE level of DFT.

Cell lengths 7.1759, 7.1759, 7.1759 Å; angles 130.46, 130.46, 72.67 degrees
With the nearest neighbours (Å) after each atom.
Sites, in units of the cell vectors:
1 Al 0.0868 0.6250 0.9618  2 S 2.44, 2 Tl 2.71
2 Al 0.3750 0.3368 0.4618  2 S 2.44, 2 Tl 2.71
3 Al 0.6632 0.1250 0.0382  2 S 2.44, 2 Tl 2.71
4 Al 0.8750 0.9132 0.5382  2 S 2.44, 2 Tl 2.71
5 Tl 0.2500 0.7500 0.5000  4 Al 2.71
6 Tl 0.5000 0.5000 0.0000  4 Al 2.71
7 S 0.0000 0.0000 0.0000  4 Al 2.44
8 S 0.7500 0.2500 0.5000  4 Al 2.44

Properties
- E (eV/atom) = -3.5054
- calculated volume (Å³/atom) = 26.12